[1]
Material: CrGa2Rh3
Method: DFT, PBE
State: optimized geometry

Cell lengths 6.8055, 6.8055, 6.0362 Å; angles 90.00, 90.00, 143.11 degrees
Last column: nearest neighbours and their distance in Å.
Element x y z (fractional)
Cr  0.1680  0.8320  0.0000  8 Rh 2.64-2.66
Cr  0.8320  0.1680  0.0000  8 Rh 2.64-2.66
Ga  0.1682  0.8318  0.5000  8 Rh 2.61-2.63
Ga  0.5000  0.5000  0.0000  8 Rh 2.63-2.64
Ga  0.5000  0.5000  0.5000  8 Rh 2.60-2.62
Ga  0.8318  0.1682  0.5000  8 Rh 2.61-2.63
Rh  0.0000  0.0000  0.2539  6 Ga 2.62-2.64, 2 Cr 2.66
Rh  0.0000  0.0000  0.7461  6 Ga 2.62-2.64, 2 Cr 2.66
Rh  0.3346  0.6654  0.2534  5 Ga 2.60-2.63, 3 Cr 2.64
Rh  0.3346  0.6654  0.7466  5 Ga 2.60-2.63, 3 Cr 2.64
Rh  0.6654  0.3346  0.2534  5 Ga 2.60-2.63, 3 Cr 2.64
Rh  0.6654  0.3346  0.7466  5 Ga 2.60-2.63, 3 Cr 2.64

Output
E_form (kJ per mole of atoms): -46.19
SG: Cmmm, No. 65

[2]
Material: LiLaAgHg2
Method: DFT, PBE
State: optimized geometry

Cell lengths 4.9450, 4.9450, 4.8364 Å; angles 90.00, 90.00, 90.00 degrees
Last column: nearest neighbours and their distance in Å.
Element x y z (fractional)
Li  0.0000  0.0000  0.0000  2 Ag 2.42, 4 Hg 2.47
La  0.5000  0.5000  0.5000  8 Hg 3.46, 4 Ag 3.50
Ag  0.0000  0.0000  0.5000  2 Li 2.42
Hg  0.0000  0.5000  0.0000  2 Li 2.47
Hg  0.5000  0.0000  0.0000  2 Li 2.47

Output
E_form (kJ per mole of atoms): -21.11
SG: P4/mmm, No. 123

[3]
Material: Ni2AuSe
Method: DFT, PBE
State: optimized geometry

Cell lengths 4.3766, 4.3766, 4.3766 Å; angles 60.00, 60.00, 60.00 degrees
Last column: nearest neighbours and their distance in Å.
Element x y z (fractional)
Ni  0.0000  0.0000  0.0000  4 Au 2.68, 4 Ni 2.68
Ni  0.2500  0.2500  0.2500  4 Se 2.68, 4 Ni 2.68
Au  0.7500  0.7500  0.7500  4 Se 2.68, 4 Ni 2.68
Se  0.5000  0.5000  0.5000  4 Ni 2.68, 4 Au 2.68

Output
ΔE_f (raw) (eV/atom): 0.370
SG: F-43m, No. 216

Number 1: total magnetic moment 6.778 Bohr magnetons per cell. Number 2: total magnetic moment 0.000 Bohr magnetons per cell. Number 3: total magnetic moment 0.000 Bohr magnetons per cell.